Entry 1:
Computed, not measured: a geometry-optimized NaCuTcSeS2 structure at the GGA-PBE level of DFT.

```
data_NaCuTcSeS2
_cell_length_a 3.541
_cell_length_b 13.611
_cell_length_c 9.525
_cell_angle_alpha 90.00
_cell_angle_beta 90.00
_cell_angle_gamma 90.00
_space_group_name_H-M_alt 'C m c m'
_space_group_IT_number 63
_space_group_name_Hall '-C 2c 2'
loop_
_atom_site_label
_atom_site_type_symbol
_atom_site_fract_x
_atom_site_fract_y
_atom_site_fract_z
_atom_site_occupancy
Na1 Na 0.000 0.232 0.250 1
Cu1 Cu 0.000 0.460 0.750 1
Tc1 Tc 0.000 0.000 0.000 1
Se1 Se 0.000 0.084 0.750 1
S1 S 0.000 0.378 0.547 1
```

---

Entry 2:
Computed, not measured: a geometry-optimized LaAgGeTe2Se structure at the GGA-PBE level of DFT.

```
data_LaAgGeTe2Se
_cell_length_a 4.280
_cell_length_b 14.513
_cell_length_c 11.073
_cell_angle_alpha 90.00
_cell_angle_beta 90.00
_cell_angle_gamma 90.00
_space_group_name_H-M_alt 'C m c m'
_space_group_IT_number 63
_space_group_name_Hall '-C 2c 2'
loop_
_atom_site_label
_atom_site_type_symbol
_atom_site_fract_x
_atom_site_fract_y
_atom_site_fract_z
_atom_site_occupancy
La1 La 0.000 0.000 0.000 1
Ag1 Ag 0.000 0.481 0.250 1
Ge1 Ge 0.000 0.232 0.750 1
Te1 Te 0.000 0.341 0.074 1
Se1 Se 0.000 0.092 0.250 1
```

---

Entry 3:
Computed, not measured: a geometry-optimized Tb2Zn3Pt4 structure at the GGA-PBE level of DFT.

Output
**Formation energy**: -0.90 eV per atom

```
data_Tb2Zn3Pt4
_cell_length_a 5.599
_cell_length_b 15.255
_cell_length_c 7.581
_cell_angle_alpha 90.00
_cell_angle_beta 90.00
_cell_angle_gamma 90.00
_space_group_name_H-M_alt 'C m c e'
_space_group_IT_number 64
_space_group_name_Hall '-C 2ac 2'
loop_
_atom_site_label
_atom_site_type_symbol
_atom_site_fract_x
_atom_site_fract_y
_atom_site_fract_z
_atom_site_occupancy
Tb1 Tb 0.000 0.111 0.086 1
Zn1 Zn 0.000 0.000 0.500 1
Zn2 Zn 0.250 0.229 0.750 1
Pt1 Pt 0.000 0.177 0.473 1
Pt2 Pt 0.250 0.059 0.750 1
```

---

Entry 4:
Computed, not measured: a geometry-optimized DyY2As3 structure at the GGA-PBE level of DFT.

```
data_DyY2As3
_cell_length_a 4.1174
_cell_length_b 4.1174
_cell_length_c 10.0975
_cell_angle_alpha 90.00
_cell_angle_beta 90.00
_cell_angle_gamma 120.00
_space_group_name_H-M_alt 'P -3 m 1'
_space_group_IT_number 164
_space_group_name_Hall '-P 3 2"'
loop_
_atom_site_label
_atom_site_type_symbol
_atom_site_fract_x
_atom_site_fract_y
_atom_site_fract_z
_atom_site_occupancy
Dy1 Dy 0.0000 0.0000 0.0000 1
Y1 Y 0.3333 0.6667 0.3334 1
As1 As 0.0000 0.0000 0.5000 1
As2 As 0.3333 0.6667 0.8336 1
```

---

Entry 5:
Computed, not measured: a geometry-optimized LaPmSc structure at the GGA-PBE level of DFT.

Output
**Formation energy**: 0.63 eV per atom

```
data_LaPmSc
_cell_length_a 7.582
_cell_length_b 7.582
_cell_length_c 7.582
_cell_angle_alpha 90.00
_cell_angle_beta 90.00
_cell_angle_gamma 90.00
_space_group_name_H-M_alt 'F -4 3 m'
_space_group_IT_number 216
_space_group_name_Hall 'F -4 2 3'
loop_
_atom_site_label
_atom_site_type_symbol
_atom_site_fract_x
_atom_site_fract_y
_atom_site_fract_z
_atom_site_occupancy
La1 La 0.000 0.000 0.000 1
Pm1 Pm 0.000 0.000 0.500 1
Sc1 Sc 0.250 0.250 0.250 1
```

---

Entry 6:
Computed, not measured: a geometry-optimized Ta2Al11 structure at the GGA-PBE level of DFT.

```
data_Ta2Al11
_cell_length_a 5.2486
_cell_length_b 5.2486
_cell_length_c 27.2368
_cell_angle_alpha 90.00
_cell_angle_beta 90.00
_cell_angle_gamma 120.00
_space_group_name_H-M_alt 'R -3 m'
_space_group_IT_number 166
_space_group_name_Hall '-R 3 2"'
loop_
_atom_site_label
_atom_site_type_symbol
_atom_site_fract_x
_atom_site_fract_y
_atom_site_fract_z
_atom_site_occupancy
Ta1 Ta 0.0000 0.0000 0.1671 1
Al1 Al 0.0000 0.0000 0.0000 1
Al2 Al 0.0000 0.0000 0.3505 1
Al3 Al 0.0000 0.0000 0.4537 1
Al4 Al 0.0017 0.5009 0.4127 1
```

---

Entry 7:
Computed, not measured: a geometry-optimized Rb2Li3ReO6 structure at the GGA-PBE level of DFT.

```
data_Rb2Li3ReO6
_cell_length_a 5.962
_cell_length_b 12.097
_cell_length_c 5.023
_cell_angle_alpha 90.00
_cell_angle_beta 114.62
_cell_angle_gamma 90.00
_space_group_name_H-M_alt 'C 1 2/m 1'
_space_group_IT_number 12
loop_
_space_group_symop_operation_xyz
'x,y,z'
'-x,-y,-z'
'-x,y,-z'
'x,-y,z'
'x+1/2,y+1/2,z'
'-x+1/2,-y+1/2,-z'
'-x+1/2,y+1/2,-z'
'x+1/2,-y+1/2,z'
loop_
_atom_site_label
_atom_site_type_symbol
_atom_site_fract_x
_atom_site_fract_y
_atom_site_fract_z
_atom_site_occupancy
Rb1 Rb 0.000 0.183 0.000 1
Li1 Li 0.000 0.000 0.500 1
Li2 Li 0.000 0.401 0.500 1
Re1 Re 0.000 0.500 0.000 1
O1 O 0.198 0.389 0.269 1
O2 O 0.210 0.500 0.803 1
```

---

Entry 8:
Computed, not measured: a geometry-optimized Hg2PbSO6 structure at the GGA-PBE level of DFT.

```
data_Hg2PbSO6
_cell_length_a 6.991
_cell_length_b 7.458
_cell_length_c 7.475
_cell_angle_alpha 73.40
_cell_angle_beta 66.33
_cell_angle_gamma 62.72
_space_group_name_H-M_alt 'P -1'
_space_group_IT_number 2
loop_
_space_group_symop_operation_xyz
'x,y,z'
'-x,-y,-z'
loop_
_atom_site_label
_atom_site_type_symbol
_atom_site_fract_x
_atom_site_fract_y
_atom_site_fract_z
_atom_site_occupancy
Hg1 Hg 0.149 0.373 0.283 1
Hg2 Hg 0.344 0.629 0.725 1
Pb1 Pb 0.332 0.123 0.746 1
S1 S 0.195 0.852 0.232 1
O1 O 0.037 0.130 0.633 1
O2 O 0.142 0.471 0.791 1
O3 O 0.191 0.058 0.135 1
O4 O 0.278 0.716 0.084 1
O5 O 0.351 0.763 0.355 1
O6 O 0.429 0.229 0.378 1
```

---

Entry 9:
Computed, not measured: a geometry-optimized LuHfPbC structure at the GGA-PBE level of DFT.

```
data_LuHfPbC
_cell_length_a 3.4567
_cell_length_b 3.4567
_cell_length_c 15.1898
_cell_angle_alpha 90.00
_cell_angle_beta 90.00
_cell_angle_gamma 120.00
_space_group_name_H-M_alt 'P -3 m 1'
_space_group_IT_number 164
_space_group_name_Hall '-P 3 2"'
loop_
_atom_site_label
_atom_site_type_symbol
_atom_site_fract_x
_atom_site_fract_y
_atom_site_fract_z
_atom_site_occupancy
Lu1 Lu 0.3333 0.6667 0.4155 1
Hf1 Hf 0.3333 0.6667 0.0777 1
Pb1 Pb 0.3333 0.6667 0.7590 1
C1 C 0.0000 0.0000 0.0000 1
C2 C 0.0000 0.0000 0.5000 1
```

---

Entry 10:
Computed, not measured: a geometry-optimized GdTaSi structure at the GGA-PBE level of DFT.

```
data_GdTaSi
_cell_length_a 6.432
_cell_length_b 6.432
_cell_length_c 6.432
_cell_angle_alpha 90.00
_cell_angle_beta 90.00
_cell_angle_gamma 90.00
_space_group_name_H-M_alt 'F -4 3 m'
_space_group_IT_number 216
_space_group_name_Hall 'F -4 2 3'
loop_
_atom_site_label
_atom_site_type_symbol
_atom_site_fract_x
_atom_site_fract_y
_atom_site_fract_z
_atom_site_occupancy
Gd1 Gd 0.000 0.000 0.000 1
Ta1 Ta 0.000 0.000 0.500 1
Si1 Si 0.250 0.250 0.250 1
```

---

Entry 11:
Computed, not measured: a geometry-optimized ZrTe structure at the GGA-PBE level of DFT.

```
data_ZrTe
_cell_length_a 7.197
_cell_length_b 3.857
_cell_length_c 7.091
_cell_angle_alpha 90.00
_cell_angle_beta 90.00
_cell_angle_gamma 90.00
_space_group_name_H-M_alt 'P n m a'
_space_group_IT_number 62
loop_
_space_group_symop_operation_xyz
'x,y,z'
'-x,-y,-z'
'-x+1/2,-y,z+1/2'
'x+1/2,y,-z+1/2'
'x+1/2,-y+1/2,-z+1/2'
'-x+1/2,y+1/2,z+1/2'
'-x,y+1/2,-z'
'x,-y+1/2,z'
loop_
_atom_site_label
_atom_site_type_symbol
_atom_site_fract_x
_atom_site_fract_y
_atom_site_fract_z
_atom_site_occupancy
Zr1 Zr 0.009 0.250 0.187 1
Te1 Te 0.204 0.250 0.574 1
```

---

Entry 12:
Computed, not measured: a geometry-optimized TaInCoCu structure at the GGA-PBE level of DFT.

```
data_TaInCoCu
_cell_length_a 6.199
_cell_length_b 6.199
_cell_length_c 6.199
_cell_angle_alpha 90.00
_cell_angle_beta 90.00
_cell_angle_gamma 90.00
_space_group_name_H-M_alt 'F -4 3 m'
_space_group_IT_number 216
_space_group_name_Hall 'F -4 2 3'
loop_
_atom_site_label
_atom_site_type_symbol
_atom_site_fract_x
_atom_site_fract_y
_atom_site_fract_z
_atom_site_occupancy
Ta1 Ta 0.000 0.000 0.000 1
In1 In 0.000 0.000 0.500 1
Co1 Co 0.250 0.250 0.750 1
Cu1 Cu 0.250 0.250 0.250 1
```

---

| no. | uncorrected energy (eV per atom) |
| --- | --- |
| 1 | -4.96 |
| 2 | -4.35 |
| 3 | -5.04 |
| 4 | -6.80 |
| 5 | -4.70 |
| 6 | -4.96 |
| 7 | -5.88 |
| 8 | -4.79 |
| 9 | -7.43 |
| 10 | -7.24 |
| 11 | -6.71 |
| 12 | -6.34 |